# 1
DFT (GGA-PBE) results for an optimized crystal structure of PrPuSiPd.

- Density of states at the Fermi level: 2.70 states/eV/atom
- Calculated volume: 375 Å³/cell
- Spin magnetization: 21.807 μB per cell
- ΔE_f (raw): -0.412 eV/atom
- Uncorrected energy: -7.8435 eV/atom

Cell and atoms, written as CIF:
```
data_PrPuSiPd
_space_group_name_H-M_alt 'F -4 3 m'
_space_group_IT_number 216
_space_group_name_Hall 'F -4 2 3'
_cell_length_a 7.2111
_cell_length_b 7.2111
_cell_length_c 7.2111
_cell_angle_alpha 90.00
_cell_angle_beta 90.00
_cell_angle_gamma 90.00
loop_
_atom_site_label
_atom_site_type_symbol
_atom_site_fract_x
_atom_site_fract_y
_atom_site_fract_z
_atom_site_occupancy
Pr1 Pr 0.0000 0.0000 0.0000 1
Pu1 Pu 0.0000 0.0000 0.5000 1
Si1 Si 0.2500 0.2500 0.7500 1
Pd1 Pd 0.2500 0.2500 0.2500 1
```

***

# 2
DFT (GGA-PBE) results for an optimized crystal structure of Ag2PW.

- Density of states at the Fermi level: 0.67 states/eV/atom
- Calculated volume: 208 Å³/cell
- Spin magnetization: 0.000 μB per cell
- E_form: 3.04 kcal/mol of atoms
- Uncorrected energy: -5.8845 eV/atom

Cell and atoms, written as CIF:
```
data_Ag2PW
_space_group_name_H-M_alt 'R 3 m'
_space_group_IT_number 160
_space_group_name_Hall 'R 3 -2"'
_cell_length_a 3.0020
_cell_length_b 3.0020
_cell_length_c 26.6619
_cell_angle_alpha 90.00
_cell_angle_beta 90.00
_cell_angle_gamma 120.00
loop_
_atom_site_label
_atom_site_type_symbol
_atom_site_fract_x
_atom_site_fract_y
_atom_site_fract_z
_atom_site_occupancy
Ag1 Ag 0.0000 0.0000 0.0000 1
Ag2 Ag 0.0000 0.0000 0.2445 1
P1 P 0.0000 0.0000 0.0937 1
W1 W 0.0000 0.0000 0.4889 1
```

***

# 3
DFT (GGA-PBE) results for an optimized crystal structure of Pr4BiPbSe2.

- Density of states at the Fermi level: 0.26 states/eV/atom
- Calculated volume: 251 Å³/cell
- Spin magnetization: 0.000 μB per cell
- ΔE_f (raw): -1.293 eV/atom
- Uncorrected energy: -5.5028 eV/atom

Cell and atoms, written as CIF:
```
data_Pr4BiPbSe2
_space_group_name_H-M_alt 'P 1 2/m 1'
_space_group_IT_number 10
_cell_length_a 7.6866
_cell_length_b 4.4714
_cell_length_c 7.7389
_cell_angle_alpha 90.00
_cell_angle_beta 109.58
_cell_angle_gamma 90.00
loop_
_space_group_symop_operation_xyz
'x,y,z'
'-x,-y,-z'
'-x,y,-z'
'x,-y,z'
loop_
_atom_site_label
_atom_site_type_symbol
_atom_site_fract_x
_atom_site_fract_y
_atom_site_fract_z
_atom_site_occupancy
Pr1 Pr 0.2368 0.0000 0.2427 1
Pr2 Pr 0.2378 0.5000 0.7483 1
Bi1 Bi 0.5000 0.5000 0.5000 1
Pb1 Pb 0.5000 0.0000 0.0000 1
Se1 Se 0.0000 0.0000 0.5000 1
Se2 Se 0.0000 0.5000 0.0000 1
```

***

# 4
DFT (GGA-PBE) results for an optimized crystal structure of Pr6ErSn10.

- Density of states at the Fermi level: 0.68 states/eV/atom
- Calculated volume: 500 Å³/cell
- Spin magnetization: 0.000 μB per cell
- E_form: -13.05 kcal/mol of atoms
- Uncorrected energy: -4.8758 eV/atom

Cell and atoms, written as CIF:
```
data_Pr6ErSn10
_space_group_name_H-M_alt 'P -3 1 m'
_space_group_IT_number 162
_space_group_name_Hall '-P 3 2'
_cell_length_a 9.4610
_cell_length_b 9.4610
_cell_length_c 6.4474
_cell_angle_alpha 90.00
_cell_angle_beta 90.00
_cell_angle_gamma 120.00
loop_
_atom_site_label
_atom_site_type_symbol
_atom_site_fract_x
_atom_site_fract_y
_atom_site_fract_z
_atom_site_occupancy
Pr1 Pr 0.0000 0.3909 0.2667 1
Er1 Er 0.0000 0.0000 0.5000 1
Sn1 Sn 0.0000 0.2469 0.8161 1
Sn2 Sn 0.3333 0.6667 0.0000 1
Sn3 Sn 0.3333 0.6667 0.5000 1
```

***

# 5
DFT (GGA-PBE) results for an optimized crystal structure of Zr4TaC4.

- Density of states at the Fermi level: 0.58 states/eV/atom
- Calculated volume: 255 Å³/cell
- Spin magnetization: 0.000 μB per cell
- E_form: -16.29 kcal/mol of atoms
- Uncorrected energy: -9.9221 eV/atom

Cell and atoms, written as CIF:
```
data_Zr4TaC4
_space_group_name_H-M_alt 'I 4/m'
_space_group_IT_number 87
_space_group_name_Hall '-I 4'
_cell_length_a 7.3274
_cell_length_b 7.3274
_cell_length_c 4.7469
_cell_angle_alpha 90.00
_cell_angle_beta 90.00
_cell_angle_gamma 90.00
loop_
_atom_site_label
_atom_site_type_symbol
_atom_site_fract_x
_atom_site_fract_y
_atom_site_fract_z
_atom_site_occupancy
Zr1 Zr 0.1075 0.3076 0.0000 1
Ta1 Ta 0.0000 0.0000 0.5000 1
C1 C 0.0934 0.2905 0.5000 1
```

***

# 6
DFT (GGA-PBE) results for an optimized crystal structure of La2SbBr.

- Density of states at the Fermi level: 0.92 states/eV/atom
- Calculated volume: 257 Å³/cell
- Spin magnetization: 0.000 μB per cell
- ΔE_f (raw): -1.303 eV/atom
- Uncorrected energy: -5.2154 eV/atom

Cell and atoms, written as CIF:
```
data_La2SbBr
_space_group_name_H-M_alt 'P m m n'
_space_group_IT_number 59
_cell_length_a 4.5982
_cell_length_b 6.3650
_cell_length_c 8.7874
_cell_angle_alpha 90.00
_cell_angle_beta 90.00
_cell_angle_gamma 90.00
loop_
_space_group_symop_operation_xyz
'x,y,z'
'-x,-y,-z'
'-x+1/2,-y+1/2,z'
'x+1/2,y+1/2,-z'
'x+1/2,-y,-z'
'-x+1/2,y,z'
'-x,y+1/2,-z'
'x,-y+1/2,z'
loop_
_atom_site_label
_atom_site_type_symbol
_atom_site_fract_x
_atom_site_fract_y
_atom_site_fract_z
_atom_site_occupancy
La1 La 0.2500 0.2500 0.1193 1
La2 La 0.2500 0.2500 0.6206 1
Sb1 Sb 0.2500 0.7500 0.6325 1
Br1 Br 0.2500 0.7500 0.1292 1
```

***

# 7
DFT (GGA-PBE) results for an optimized crystal structure of LiSBr3.

- Density of states at the Fermi level: 0.86 states/eV/atom
- Calculated volume: 136 Å³/cell
- Spin magnetization: 3.886 μB per cell
- ΔE_f (raw): 0.164 eV/atom
- Uncorrected energy: -2.0485 eV/atom
- Excess energy over the best structure of this formula in the dataset: 0.430 eV/atom

Cell and atoms, written as CIF:
```
data_LiSBr3
_space_group_name_H-M_alt 'P m -3 m'
_space_group_IT_number 221
_space_group_name_Hall '-P 4 2 3'
_cell_length_a 5.1465
_cell_length_b 5.1465
_cell_length_c 5.1465
_cell_angle_alpha 90.00
_cell_angle_beta 90.00
_cell_angle_gamma 90.00
loop_
_atom_site_label
_atom_site_type_symbol
_atom_site_fract_x
_atom_site_fract_y
_atom_site_fract_z
_atom_site_occupancy
Li1 Li 0.0000 0.0000 0.0000 1
S1 S 0.5000 0.5000 0.5000 1
Br1 Br 0.0000 0.0000 0.5000 1
```

***

# 8
DFT (GGA-PBE) results for an optimized crystal structure of Re2BOs.

- Density of states at the Fermi level: 0.72 states/eV/atom
- Calculated volume: 154 Å³/cell
- Spin magnetization: 0.001 μB per cell
- E_form: 3.13 kcal/mol of atoms
- Uncorrected energy: -10.5650 eV/atom

Cell and atoms, written as CIF:
```
data_Re2BOs
_space_group_name_H-M_alt 'R -3 m'
_space_group_IT_number 166
_space_group_name_Hall '-R 3 2"'
_cell_length_a 2.8520
_cell_length_b 2.8520
_cell_length_c 21.8302
_cell_angle_alpha 90.00
_cell_angle_beta 90.00
_cell_angle_gamma 120.00
loop_
_atom_site_label
_atom_site_type_symbol
_atom_site_fract_x
_atom_site_fract_y
_atom_site_fract_z
_atom_site_occupancy
Re1 Re 0.0000 0.0000 0.2316 1
B1 B 0.0000 0.0000 0.5000 1
Os1 Os 0.0000 0.0000 0.0000 1
```